Ag3Sb after structural relaxation. Source: the Alexandria database, functional GGA-PBEsol.

Output
- E_tot: -3.56 eV/atom

Lattice parameters (Å, degrees): 7.772 7.795 5.205 90.00 90.00 90.00
Positions (direct):
Ag 0.069 0.250 0.094
Ag 0.247 0.567 0.985
Ag 0.247 0.933 0.985
Ag 0.253 0.067 0.485
Ag 0.253 0.433 0.485
Ag 0.431 0.750 0.594
Ag 0.569 0.250 0.406
Ag 0.747 0.567 0.515
Ag 0.747 0.933 0.515
Ag 0.753 0.067 0.015
Ag 0.753 0.433 0.015
Ag 0.931 0.750 0.906
Sb 0.087 0.750 0.407
Sb 0.413 0.250 0.907
Sb 0.587 0.750 0.093
Sb 0.913 0.250 0.593